# 1
This record from the Alexandria database describes AgOsRh after structural relaxation. The functional is PBE.

formation energy from the elements: 1.50 eV/f.u.
VASP energy: -6.6452 eV per atom
energy relative to the lowest polymorph listed for this composition: 200.5 meV/atom

Unit cell a=2.7413 b=3.8385 c=8.8663 alpha=90.00 beta=90.00 gamma=90.00
Space group Imm2 (No. 44)
Inequivalent atoms, fractional coordinates:
Ag 0.0000 0.0000 0.0000 x2
Os 0.0000 0.0000 0.3150 x2
Rh 0.0000 0.0000 0.6858 x2

***

# 2
This record from the Alexandria database describes Sc3Si3Ni2 after structural relaxation. The functional is PBE.

formation energy without anion corrections: -0.8784 eV/atom
VASP energy: -6.7317 eV per atom
energy relative to the lowest polymorph listed for this composition: 0.0 meV/atom

Unit cell a=3.9826 b=9.6942 c=13.1014 alpha=90.00 beta=90.00 gamma=90.00
Space group Cmcm (No. 63)
Inequivalent atoms, fractional coordinates:
Sc 0.0000 0.0825 0.1117 x8
Sc 0.0000 0.3612 0.2500 x4
Si 0.0000 0.3406 0.7500 x4
Si 0.0000 0.3836 0.0391 x8
Ni 0.0000 0.2086 0.5961 x8

***

# 3
This record from the Alexandria database describes Tb4Pm2SmMg after structural relaxation. The functional is PBE.

formation energy from the elements: 0.18 eV/f.u.
VASP energy: -4.2696 eV per atom

Unit cell a=4.9871 b=5.0001 c=10.1948 alpha=90.00 beta=90.00 gamma=90.00
Space group Pmmm (No. 47)
Inequivalent atoms, fractional coordinates:
Tb 0.0000 0.0000 0.2471 x2
Tb 0.5000 0.5000 0.2472 x2
Pm 0.0000 0.5000 0.0000 x1
Pm 0.5000 0.0000 0.5000 x1
Sm 0.0000 0.5000 0.5000 x1
Mg 0.5000 0.0000 0.0000 x1

***

# 4
This record from the Alexandria database describes AlAsOs2Br after structural relaxation. The functional is PBE.

formation energy without anion corrections: 1.7499 eV/atom
VASP energy: -4.7550 eV per atom

Unit cell a=4.6652 b=4.6652 c=4.7055 alpha=90.00 beta=90.00 gamma=90.00
Space group P4/mmm (No. 123)
Inequivalent atoms, fractional coordinates:
Al 0.0000 0.0000 0.0000 x1
As 0.0000 0.0000 0.5000 x1
Os 0.0000 0.5000 0.0000 x2
Br 0.5000 0.5000 0.5000 x1

***

# 5
This record from the Alexandria database describes AcPmCuSb after structural relaxation. The functional is PBE.

formation energy without anion corrections: -0.4475 eV/atom
VASP energy: -4.7169 eV per atom

Unit cell a=7.7025 b=7.7025 c=7.7025 alpha=90.00 beta=90.00 gamma=90.00
Space group F-43m (No. 216)
Inequivalent atoms, fractional coordinates:
Ac 0.0000 0.0000 0.0000 x4
Pm 0.0000 0.0000 0.5000 x4
Cu 0.2500 0.2500 0.2500 x4
Sb 0.2500 0.2500 0.7500 x4

***

# 6
This record from the Alexandria database describes Hg3TeSe after structural relaxation. The functional is PBE.

formation energy without anion corrections: 0.2138 eV/atom
VASP energy: -1.2925 eV per atom
energy relative to the lowest polymorph listed for this composition: 315.9 meV/atom

Unit cell a=5.3939 b=5.3939 c=5.3939 alpha=90.00 beta=90.00 gamma=90.00
Space group Pm-3m (No. 221)
Inequivalent atoms, fractional coordinates:
Hg 0.0000 0.0000 0.5000 x3
Te 0.5000 0.5000 0.5000 x1
Se 0.0000 0.0000 0.0000 x1

***

Please write out number 6 again, unchanged.
This record from the Alexandria database describes Hg3TeSe after structural relaxation. The functional is PBE.

formation energy without anion corrections: 0.2138 eV/atom
VASP energy: -1.2925 eV per atom
energy relative to the lowest polymorph listed for this composition: 315.9 meV/atom

Unit cell a=5.3939 b=5.3939 c=5.3939 alpha=90.00 beta=90.00 gamma=90.00
Space group Pm-3m (No. 221)
Inequivalent atoms, fractional coordinates:
Hg 0.0000 0.0000 0.5000 x3
Te 0.5000 0.5000 0.5000 x1
Se 0.0000 0.0000 0.0000 x1

***

Look up the VASP energy of the second one.
-6.7317 eV per atom

***

Which of these has the lowest VASP energy?
Sc3Si3Ni2

***

Which value of VASP energy does entry 5 give?
-4.7169 eV per atom